1.
Crystalline Er8Co2Pt at its relaxed geometry, computed with GGA-PBE.

Cell: 7.3585 7.3585 5.8298 Å, 99.65 99.65 112.62°
With the nearest neighbours (Å) after each atom.
Fractional coordinates of all 11 atoms:
Er1 0.0000 0.0000 0.0000  2 Co 2.94, 1 Pt 3.05
Er2 0.0288 0.2944 0.5895  2 Co 2.71, 1 Pt 2.97
Er3 0.1460 0.5874 0.1888  1 Pt 2.85, 2 Co 3.11-3.12
Er4 0.2944 0.0288 0.5895  2 Co 2.71, 1 Pt 2.97
Er5 0.4437 0.7092 0.7823  2 Co 2.70
Er6 0.5874 0.1460 0.1888  1 Pt 2.85, 2 Co 3.11-3.12
Er7 0.7092 0.4437 0.7823  2 Co 2.70
Er8 0.7315 0.7315 0.3758  1 Pt 2.95, 2 Co 2.96
Co1 0.0593 0.6795 0.6896  6 Er 2.70-2.96
Co2 0.6795 0.0593 0.6896  6 Er 2.70-2.96
Pt1 0.3643 0.3643 0.3451  8 Er 2.85-3.08

Results
DFT formation energy = -0.27 eV per atom
E above lowest polymorph = 58.4 meV/atom



2.
Crystalline Cs2TlMoI6 at its relaxed geometry, computed with GGA-PBE.

Cell: 8.7349 8.7349 8.7349 Å, 60.00 60.00 60.00°
With the nearest neighbours (Å) after each atom.
Fractional coordinates of all 10 atoms:
Cs1 0.2500 0.2500 0.2500  12 I 4.38
Cs2 0.7500 0.7500 0.7500  12 I 4.38
Tl1 0.0000 0.0000 0.0000  6 I 3.35
Mo1 0.5000 0.5000 0.5000  6 I 2.82
I1 0.2715 0.2715 0.7285  1 Mo 2.82
I2 0.2715 0.7285 0.2715  1 Mo 2.82
I3 0.2715 0.7285 0.7285  1 Mo 2.82
I4 0.7285 0.2715 0.2715  1 Mo 2.82
I5 0.7285 0.2715 0.7285  1 Mo 2.82
I6 0.7285 0.7285 0.2715  1 Mo 2.82

Results
uncorrected formation energy = -0.81 eV per atom



3.
Crystalline LaNdSmTh at its relaxed geometry, computed with GGA-PBE.

Cell: 3.6213 3.6213 10.5508 Å, 90.00 90.00 90.00°
With the nearest neighbours (Å) after each atom.
Fractional coordinates of all 4 atoms:
La1 0.0000 0.0000 0.0000  4 La 3.62, 4 Sm 3.78, 4 Nd 3.82
Nd1 0.5000 0.5000 0.7318  4 Th 3.57, 4 Nd 3.62, 4 La 3.82
Sm1 0.5000 0.5000 0.2638  4 Th 3.55, 4 Sm 3.62, 4 La 3.78
Th1 0.0000 0.0000 0.4964  4 Sm 3.55, 4 Nd 3.57, 4 Th 3.62

Results
DFT formation energy = 0.03 eV per atom
E above lowest polymorph = 0.0 meV/atom



4.
Crystalline In12As3Se5 at its relaxed geometry, computed with GGA-PBE.

Cell: 14.9062 14.9062 14.9062 Å, 109.47 109.47 109.47°
With the nearest neighbours (Å) after each atom.
Fractional coordinates of all 80 atoms:
In1 0.0605 0.2279 0.1449  2 Se 2.82-2.96, 2 As 3.10-3.12, 1 In 3.15
In2 0.0605 0.3326 0.9156  2 Se 2.82-2.96, 2 As 3.10-3.12, 1 In 3.15
In3 0.0830 0.7279 0.6674  2 Se 2.82-2.96, 2 As 3.10-3.12, 1 In 3.15
In4 0.0830 0.8551 0.4156  2 Se 2.82-2.96, 2 As 3.10-3.12, 1 In 3.15
In5 0.0844 0.6449 0.4170  2 Se 2.82-2.96, 2 As 3.10-3.12, 1 In 3.15
In6 0.0844 0.9395 0.6674  2 Se 2.82-2.96, 2 As 3.10-3.12, 1 In 3.15
In7 0.1449 0.0605 0.2279  2 Se 2.82-2.96, 2 As 3.10-3.12, 1 In 3.15
In8 0.1449 0.5844 0.9170  2 Se 2.82-2.96, 2 As 3.10-3.12, 1 In 3.15
In9 0.1674 0.2279 0.5830  2 Se 2.82-2.96, 2 As 3.10-3.12, 1 In 3.15
In10 0.1674 0.4395 0.5844  2 Se 2.82-2.96, 2 As 3.10-3.12, 1 In 3.15
In11 0.2279 0.1449 0.0605  2 Se 2.82-2.96, 2 As 3.10-3.12, 1 In 3.15
In12 0.2279 0.5830 0.1674  2 Se 2.82-2.96, 2 As 3.10-3.12, 1 In 3.15
In13 0.2721 0.3326 0.9170  2 Se 2.82-2.96, 2 As 3.10-3.12, 1 In 3.15
In14 0.2721 0.4395 0.3551  2 Se 2.82-2.96, 2 As 3.10-3.12, 1 In 3.15
In15 0.3326 0.9156 0.0605  2 Se 2.82-2.96, 2 As 3.10-3.12, 1 In 3.15
In16 0.3326 0.9170 0.2721  2 Se 2.82-2.96, 2 As 3.10-3.12, 1 In 3.15
In17 0.3551 0.2721 0.4395  2 Se 2.82-2.96, 2 As 3.10-3.12, 1 In 3.15
In18 0.3551 0.5830 0.9156  2 Se 2.82-2.96, 2 As 3.10-3.12, 1 In 3.15
In19 0.4156 0.0830 0.8551  2 Se 2.82-2.96, 2 As 3.10-3.12, 1 In 3.15
In20 0.4156 0.8326 0.5605  2 Se 2.82-2.96, 2 As 3.10-3.12, 1 In 3.15
In21 0.4170 0.0844 0.6449  2 Se 2.82-2.96, 2 As 3.10-3.12, 1 In 3.15
In22 0.4170 0.8326 0.7721  2 Se 2.82-2.96, 2 As 3.10-3.12, 1 In 3.15
In23 0.4395 0.3551 0.2721  2 Se 2.82-2.96, 2 As 3.10-3.12, 1 In 3.15
In24 0.4395 0.5844 0.1674  2 Se 2.82-2.96, 2 As 3.10-3.12, 1 In 3.15
In25 0.5605 0.4156 0.8326  2 Se 2.82-2.96, 2 As 3.10-3.12, 1 In 3.15
In26 0.5605 0.6449 0.7279  2 Se 2.82-2.96, 2 As 3.10-3.12, 1 In 3.15
In27 0.5830 0.1674 0.2279  2 Se 2.82-2.96, 2 As 3.10-3.12, 1 In 3.15
In28 0.5830 0.9156 0.3551  2 Se 2.82-2.96, 2 As 3.10-3.12, 1 In 3.15
In29 0.5844 0.1674 0.4395  2 Se 2.82-2.96, 2 As 3.10-3.12, 1 In 3.15
In30 0.5844 0.9170 0.1449  2 Se 2.82-2.96, 2 As 3.10-3.12, 1 In 3.15
In31 0.6449 0.4170 0.0844  2 Se 2.82-2.96, 2 As 3.10-3.12, 1 In 3.15
In32 0.6449 0.7279 0.5605  2 Se 2.82-2.96, 2 As 3.10-3.12, 1 In 3.15
In33 0.6674 0.0830 0.7279  2 Se 2.82-2.96, 2 As 3.10-3.12, 1 In 3.15
In34 0.6674 0.0844 0.9395  2 Se 2.82-2.96, 2 As 3.10-3.12, 1 In 3.15
In35 0.7279 0.5605 0.6449  2 Se 2.82-2.96, 2 As 3.10-3.12, 1 In 3.15
In36 0.7279 0.6674 0.0830  2 Se 2.82-2.96, 2 As 3.10-3.12, 1 In 3.15
In37 0.7721 0.4170 0.8326  2 Se 2.82-2.96, 2 As 3.10-3.12, 1 In 3.15
In38 0.7721 0.8551 0.9395  2 Se 2.82-2.96, 2 As 3.10-3.12, 1 In 3.15
In39 0.8326 0.5605 0.4156  2 Se 2.82-2.96, 2 As 3.10-3.12, 1 In 3.15
In40 0.8326 0.7721 0.4170  2 Se 2.82-2.96, 2 As 3.10-3.12, 1 In 3.15
In41 0.8551 0.4156 0.0830  2 Se 2.82-2.96, 2 As 3.10-3.12, 1 In 3.15
In42 0.8551 0.9395 0.7721  2 Se 2.82-2.96, 2 As 3.10-3.12, 1 In 3.15
In43 0.9156 0.0605 0.3326  2 Se 2.82-2.96, 2 As 3.10-3.12, 1 In 3.15
In44 0.9156 0.3551 0.5830  2 Se 2.82-2.96, 2 As 3.10-3.12, 1 In 3.15
In45 0.9170 0.1449 0.5844  2 Se 2.82-2.96, 2 As 3.10-3.12, 1 In 3.15
In46 0.9170 0.2721 0.3326  2 Se 2.82-2.96, 2 As 3.10-3.12, 1 In 3.15
In47 0.9395 0.6674 0.0844  2 Se 2.82-2.96, 2 As 3.10-3.12, 1 In 3.15
In48 0.9395 0.7721 0.8551  2 Se 2.82-2.96, 2 As 3.10-3.12, 1 In 3.15
As1 0.1250 0.2500 0.3750  8 In 3.10-3.12
As2 0.1250 0.3750 0.7500  8 In 3.10-3.12
As3 0.2500 0.3750 0.1250  8 In 3.10-3.12
As4 0.2500 0.8750 0.6250  8 In 3.10-3.12
As5 0.3750 0.1250 0.2500  8 In 3.10-3.12
As6 0.3750 0.7500 0.1250  8 In 3.10-3.12
As7 0.6250 0.2500 0.8750  8 In 3.10-3.12
As8 0.6250 0.8750 0.7500  8 In 3.10-3.12
As9 0.7500 0.1250 0.3750  8 In 3.10-3.12
As10 0.7500 0.6250 0.8750  8 In 3.10-3.12
As11 0.8750 0.6250 0.2500  8 In 3.10-3.12
As12 0.8750 0.7500 0.6250  8 In 3.10-3.12
Se1 0.0000 0.0000 0.0000  6 In 2.96
Se2 0.0000 0.0000 0.5000  6 In 2.96
Se3 0.0000 0.5000 0.0000  6 In 2.96
Se4 0.0000 0.5000 0.5000  6 In 2.96
Se5 0.1250 0.7500 0.8750  4 In 2.82
Se6 0.1250 0.8750 0.2500  4 In 2.82
Se7 0.2500 0.1250 0.8750  4 In 2.82
Se8 0.2500 0.6250 0.3750  4 In 2.82
Se9 0.3750 0.2500 0.6250  4 In 2.82
Se10 0.3750 0.6250 0.7500  4 In 2.82
Se11 0.5000 0.0000 0.0000  6 In 2.96
Se12 0.5000 0.0000 0.5000  6 In 2.96
Se13 0.5000 0.5000 0.0000  6 In 2.96
Se14 0.5000 0.5000 0.5000  6 In 2.96
Se15 0.6250 0.3750 0.2500  4 In 2.82
Se16 0.6250 0.7500 0.3750  4 In 2.82
Se17 0.7500 0.3750 0.6250  4 In 2.82
Se18 0.7500 0.8750 0.1250  4 In 2.82
Se19 0.8750 0.1250 0.7500  4 In 2.82
Se20 0.8750 0.2500 0.1250  4 In 2.82

Results
uncorrected formation energy = -0.09 eV per atom



5.
Crystalline Ba2HgSeO6 at its relaxed geometry, computed with GGA-PBE.

Cell: 5.9372 5.9372 5.9372 Å, 60.00 60.00 60.00°
With the nearest neighbours (Å) after each atom.
Fractional coordinates of all 10 atoms:
Ba1 0.2500 0.2500 0.2500  12 O 2.98
Ba2 0.7500 0.7500 0.7500  12 O 2.98
Hg1 0.0000 0.0000 0.0000  6 O 2.34
Se1 0.5000 0.5000 0.5000  6 O 1.86
O1 0.2789 0.2789 0.7211  1 Se 1.86
O2 0.2789 0.7211 0.2789  1 Se 1.86
O3 0.2789 0.7211 0.7211  1 Se 1.86
O4 0.7211 0.2789 0.2789  1 Se 1.86
O5 0.7211 0.2789 0.7211  1 Se 1.86
O6 0.7211 0.7211 0.2789  1 Se 1.86

Results
uncorrected formation energy = -1.46 eV per atom



6.
Crystalline SbAuF at its relaxed geometry, computed with GGA-PBE.

Cell: 7.1344 5.5177 7.3207 Å, 90.00 105.01 90.00°
With the nearest neighbours (Å) after each atom.
Fractional coordinates of all 12 atoms:
Sb1 0.2171 0.0000 0.1117  5 Au 2.71-2.90
Sb2 0.2654 0.8557 0.5273  2 F 2.01-2.02
Sb3 0.7346 0.3557 0.4727  2 F 2.01-2.02
Sb4 0.7829 0.5000 0.8883  5 Au 2.71-2.90
Au1 0.1749 0.4889 0.0161  3 Sb 2.71-2.90, 2 Au 2.80-2.82
Au2 0.4542 0.7832 0.9128  3 Sb 2.77-2.86, 4 Au 2.80-3.04
Au3 0.5458 0.2832 0.0872  3 Sb 2.77-2.86, 4 Au 2.80-3.04
Au4 0.8251 0.9889 0.9839  3 Sb 2.71-2.90, 2 Au 2.80-2.82
F1 0.0329 0.6354 0.4747  1 Sb 2.01
F2 0.4112 0.5646 0.4677  1 Sb 2.02
F3 0.5888 0.0646 0.5323  1 Sb 2.02
F4 0.9671 0.1354 0.5253  1 Sb 2.01

Results
uncorrected formation energy = -0.94 eV per atom



7.
Crystalline HoIrRuO6 at its relaxed geometry, computed with GGA-PBE.

Cell: 5.2614 5.2614 8.7788 Å, 90.00 90.00 120.00°
With the nearest neighbours (Å) after each atom.
Fractional coordinates of all 18 atoms:
Ho1 0.3333 0.6667 0.2500  6 O 2.22
Ho2 0.6667 0.3333 0.7500  6 O 2.22
Ir1 0.3333 0.6667 0.7500  6 O 2.03
Ir2 0.6667 0.3333 0.2500  6 O 2.03
Ru1 0.0000 0.0000 0.0000  6 O 2.00
Ru2 0.0000 0.0000 0.5000  6 O 2.00
O1 0.0296 0.3372 0.6194  1 Ru 2.00, 1 Ir 2.03, 1 Ho 2.22
O2 0.0296 0.6924 0.8806  1 Ru 2.00, 1 Ir 2.03, 1 Ho 2.22
O3 0.3076 0.3372 0.8806  1 Ru 2.00, 1 Ir 2.03, 1 Ho 2.22
O4 0.3076 0.9704 0.6194  1 Ru 2.00, 1 Ir 2.03, 1 Ho 2.22
O5 0.3372 0.0296 0.1194  1 Ru 2.00, 1 Ir 2.03, 1 Ho 2.22
O6 0.3372 0.3076 0.3806  1 Ru 2.00, 1 Ir 2.03, 1 Ho 2.22
O7 0.6628 0.6924 0.6194  1 Ru 2.00, 1 Ir 2.03, 1 Ho 2.22
O8 0.6628 0.9704 0.8806  1 Ru 2.00, 1 Ir 2.03, 1 Ho 2.22
O9 0.6924 0.0296 0.3806  1 Ru 2.00, 1 Ir 2.03, 1 Ho 2.22
O10 0.6924 0.6628 0.1194  1 Ru 2.00, 1 Ir 2.03, 1 Ho 2.22
O11 0.9704 0.3076 0.1194  1 Ru 2.00, 1 Ir 2.03, 1 Ho 2.22
O12 0.9704 0.6628 0.3806  1 Ru 2.00, 1 Ir 2.03, 1 Ho 2.22

Results
uncorrected formation energy = -1.45 eV per atom



8.
Crystalline Gd2Pb at its relaxed geometry, computed with GGA-PBE.

Cell: 6.0026 6.0026 6.0026 Å, 139.94 139.94 57.94°
With the nearest neighbours (Å) after each atom.
Fractional coordinates of all 3 atoms:
Gd1 0.1563 0.1563 0.0000  5 Gd 3.28-3.51, 5 Pb 3.34-3.61
Gd2 0.8437 0.8437 0.0000  5 Gd 3.28-3.51, 5 Pb 3.34-3.61
Pb1 0.5000 0.5000 0.0000  10 Gd 3.34-3.61

Results
DFT formation energy = -0.38 eV per atom